A plane-wave DFT calculation with GGA-PBE was carried out for a relaxed structure of Sr2ZnNi.

The distance to the lowest polymorph of the same formula is 442 meV per atom. The calculated formation energy is 260 meV per atom. Its total energy is -9.38 eV per formula unit.

It has space group I-42d (No. 122), with a = 8.184 Å, b = 8.184 Å, c = 7.310 Å, α = 90.00°, β = 90.00° and γ = 90.00°. The asymmetric unit holds Sr at (0.216, 0.250, 0.125), Zn at (0.000, 0.000, 0.500) and Ni at (0.000, 0.000, 0.000).

A plane-wave DFT calculation with GGA-PBE was carried out for a relaxed structure of SrZn6Ni.

The calculated formation energy is -132 meV per atom. Its total energy is -16.16 eV per formula unit.

It has space group P4/mmm (No. 123), with a = 4.302 Å, b = 4.302 Å, c = 8.068 Å, α = 90.00°, β = 90.00° and γ = 90.00°. The asymmetric unit holds Sr at (0.000, 0.000, 0.000), Zn at (0.000, 0.500, 0.341), Zn at (0.500, 0.500, 0.158) and Ni at (0.000, 0.000, 0.500).

A plane-wave DFT calculation with GGA-PBE was carried out for a relaxed structure of Sr3Zn4Ni4.

The calculated formation energy is -218 meV per atom. Its total energy is -35.66 eV per formula unit.

It has space group I-43m (No. 217), with a = 7.614 Å, b = 7.614 Å, c = 7.614 Å, α = 90.00°, β = 90.00° and γ = 90.00°. The asymmetric unit holds Sr at (0.000, 0.000, 0.500), Zn at (0.200, 0.200, 0.800) and Ni at (0.115, 0.115, 0.115).

Question: What is the formula in the third record?
Answer: Sr3Zn4Ni4

Question: calculated formation energy of number 3 (Sr3Zn4Ni4)?
Answer: -218 meV per atom